The following is a PBE calculation of a geometry-optimized CsNdGeS3 structure, from OQMD.

Computed properties:
calculated volume = 31.71 Å³ per atom
DFT total energy = -4.961 eV per atom

a b c (Å): 7.952 7.952 11.394
angles (deg): 90.00 90.00 148.12
Sites, in units of the cell vectors:
Nd  0.000  0.000  0.000
S  0.041  0.959  0.250
S  0.618  0.382  0.954
S  0.959  0.041  0.750
S  0.618  0.382  0.546
Nd  0.000  0.000  0.500
S  0.382  0.618  0.454
Cs  0.734  0.266  0.250
Ge  0.453  0.547  0.250
Cs  0.266  0.734  0.750
Ge  0.547  0.453  0.750
S  0.382  0.618  0.046



The following is a PBE calculation of a geometry-optimized Hf2AlInAu2 structure, from OQMD.

Computed properties:
calculated volume = 21.54 Å³ per atom
DFT total energy = -5.937 eV per atom

a b c (Å): 11.032 4.503 11.040
angles (deg): 90.00 109.47 90.00
Sites, in units of the cell vectors:
Al  0.125  0.500  0.127
Au  0.372  0.500  0.130
Au  0.130  0.500  0.374
Hf  0.746  0.000  0.496
Au  0.492  0.000  0.493
Al  0.250  0.000  0.498
Hf  0.250  0.000  0.002
Hf  0.000  0.000  0.252
In  0.376  0.500  0.875
In  0.624  0.500  0.626
Hf  0.504  0.000  0.751
Au  0.003  0.000  0.010
Au  0.635  0.500  0.884
Al  0.752  0.000  0.002
Hf  0.126  0.500  0.621
Al  0.497  0.000  0.249
Hf  0.373  0.500  0.373
Hf  0.621  0.500  0.124
In  0.002  0.000  0.753
Au  0.252  0.000  0.741
Au  0.875  0.500  0.625
Au  0.740  0.000  0.242
In  0.873  0.500  0.372
Hf  0.880  0.500  0.881



The following is a PBE calculation of a geometry-optimized Nb2HgOs structure, from OQMD.

Computed properties:
calculated volume = 17.52 Å³ per atom
DFT total energy = -7.554 eV per atom
calculated formation energy = 0.37 eV per atom

a b c (Å): 4.628 4.628 4.628
angles (deg): 60.00 60.00 60.00
Last column: magnetic moment on the atom in μB.
Sites, in units of the cell vectors:
Nb  0.000  0.000  0.000  0.14
Hg  0.500  0.500  0.500  0.02
Os  0.750  0.750  0.750  0.12
Nb  0.250  0.250  0.250  0.72



The following is a PBE calculation of a geometry-optimized ZrNpBe structure, from OQMD.

Computed properties:
calculated volume = 20.75 Å³ per atom
DFT total energy = -7.703 eV per atom

a b c (Å): 4.448 4.448 4.448
angles (deg): 60.00 60.00 60.00
Last column: magnetic moment on the atom in μB.
Sites, in units of the cell vectors:
Np  0.250  0.250  0.250  3.61
Zr  0.750  0.750  0.750  0.24
Be  0.000  0.000  0.000  -0.04



The following is a PBE calculation of a geometry-optimized LiNbNiBi structure, from OQMD.

Computed properties:
energy relative to the lowest polymorph listed for this composition = 0.090 eV/atom
calculated volume = 17.33 Å³ per atom
DFT total energy = -5.032 eV per atom

a b c (Å): 4.611 4.611 4.611
angles (deg): 60.00 60.00 60.00
Sites, in units of the cell vectors:
Bi  0.000  0.000  0.000
Ni  0.750  0.750  0.750
Li  0.500  0.500  0.500
Nb  0.250  0.250  0.250



The following is a PBE calculation of a geometry-optimized ZnC8O4F4 structure, from OQMD.

Computed properties:
calculated volume = 11.33 Å³ per atom
DFT total energy = -6.864 eV per atom

a b c (Å): 4.876 4.876 16.262
angles (deg): 93.32 93.32 87.78
Sites, in units of the cell vectors:
C  0.412  0.782  0.948
F  0.637  0.149  0.554
C  0.588  0.218  0.052
F  0.439  0.667  0.600
C  0.039  0.404  0.580
C  0.218  0.588  0.552
C  0.179  0.683  0.473
F  0.363  0.851  0.446
C  0.683  0.179  0.973
C  0.089  0.277  0.661
F  0.333  0.561  0.900
C  0.404  0.039  0.080
O  0.981  0.940  0.843
C  0.961  0.596  0.420
O  0.160  0.414  0.727
C  0.277  0.089  0.161
F  0.667  0.439  0.100
O  0.414  0.160  0.227
C  0.782  0.412  0.448
O  0.940  0.981  0.343
O  0.586  0.840  0.773
O  0.060  0.019  0.657
F  0.851  0.363  0.946
C  0.911  0.723  0.339
F  0.149  0.637  0.054
F  0.561  0.333  0.400
Zn  0.190  0.810  0.750
C  0.317  0.821  0.027
C  0.821  0.317  0.527
O  0.840  0.586  0.273
Zn  0.810  0.190  0.250
C  0.723  0.911  0.839
C  0.596  0.961  0.920
O  0.019  0.060  0.157



The following is a PBE calculation of a geometry-optimized CuH15C18SIN7 structure, from OQMD.

Computed properties:
calculated volume = 10.98 Å³ per atom
DFT total energy = -6.599 eV per atom

a b c (Å): 7.771 9.257 14.779
angles (deg): 93.87 101.75 113.13
Sites, in units of the cell vectors:
C  0.952  0.111  0.354
C  0.309  0.615  0.488
I  0.689  0.823  0.952
C  0.557  0.228  0.500
C  0.362  0.242  0.350
H  0.735  0.417  0.838
I  0.311  0.177  0.048
N  0.859  0.248  0.001
C  0.505  0.596  0.640
Cu  0.955  0.102  0.057
N  0.112  0.922  0.815
H  0.155  0.656  0.718
H  0.297  0.575  0.861
C  0.167  0.488  0.811
C  0.602  0.841  0.579
N  0.206  0.177  0.271
C  0.015  0.121  0.271
N  0.484  0.508  0.302
N  0.516  0.492  0.698
C  0.080  0.330  0.824
H  0.529  0.019  0.747
C  0.690  0.403  0.904
N  0.149  0.534  0.415
C  0.756  0.061  0.348
H  0.156  0.898  0.234
H  0.765  0.800  0.793
C  0.443  0.772  0.500
C  0.375  0.981  0.740
H  0.299  0.034  0.414
C  0.911  0.466  0.269
C  0.302  0.970  0.818
H  0.471  0.981  0.253
C  0.048  0.889  0.646
C  0.310  0.597  0.096
N  0.162  0.734  0.322
N  0.231  0.371  0.560
H  0.293  0.944  0.588
H  0.057  0.148  0.422
H  0.701  0.966  0.586
H  0.235  0.200  0.207
H  0.864  0.712  0.114
S  0.333  0.325  0.653
C  0.495  0.404  0.360
C  0.638  0.758  0.650
N  0.838  0.266  0.678
C  0.698  0.030  0.182
C  0.625  0.019  0.260
H  0.602  0.000  0.112
H  0.265  0.583  0.162
Cu  0.045  0.898  0.943
H  0.074  0.417  0.420
C  0.833  0.512  0.189
S  0.667  0.675  0.347
C  0.398  0.159  0.421
H  0.532  0.336  0.888
C  0.076  0.582  0.334
C  0.920  0.670  0.176
C  0.658  0.474  0.440
C  0.089  0.534  0.731
H  0.707  0.056  0.412
C  0.985  0.879  0.729
H  0.845  0.344  0.282
H  0.703  0.425  0.139
C  0.783  0.318  0.959
H  0.271  0.478  0.058
H  0.844  0.102  0.766
C  0.691  0.385  0.512
H  0.577  0.157  0.554
C  0.244  0.939  0.652
H  0.468  0.664  0.112
N  0.769  0.629  0.440
C  0.924  0.418  0.666
C  0.217  0.682  0.041
N  0.141  0.752  0.999
H  0.398  0.000  0.888
H  0.943  0.852  0.578
C  0.083  0.774  0.243
C  0.342  0.526  0.560
N  0.794  0.823  0.729
N  0.888  0.078  0.185
C  0.917  0.226  0.757
H  0.423  0.843  0.446
H  0.926  0.583  0.580
H  0.729  0.522  0.942
H  0.136  0.288  0.886
N  0.851  0.466  0.585



The following is a PBE calculation of a geometry-optimized NdTe structure, from OQMD.

Computed properties:
calculated volume = 32.15 Å³ per atom
DFT total energy = -5.378 eV per atom

a b c (Å): 4.497 4.497 4.497
angles (deg): 60.00 60.00 60.00
Sites, in units of the cell vectors:
Nd  0.000  0.000  0.000
Te  0.500  0.500  0.500